1.
BaErCu2Te4 | PBE | optimized geometry

Cell: 7.0526 7.0348 7.0348 Å, 71.86 59.92 59.92°
Closest atoms and distances in Å follow each position.
Positions (direct):
Te  0.9326  0.5091  0.1008  1 Cu 2.55
Te  0.4575  0.1008  0.5091  1 Cu 2.55
Er  0.5000  0.5000  0.5000  4 Te 2.95
Ba  0.0000  0.0000  0.0000  8 Te 3.53-3.62
Te  0.5425  0.4909  0.8992  1 Cu 2.55
Te  0.0674  0.8992  0.4909  1 Cu 2.55
Cu  0.8575  0.6425  0.6425  2 Te 2.55, 1 Cu 2.55
Cu  0.1425  0.3575  0.3575  2 Te 2.55, 1 Cu 2.55

Values from the calculation:
Formation energy (no corrections): -0.703 eV/atom

2.
BaEuCu | PBE | optimized geometry

Cell: 5.4132 5.4132 5.4132 Å, 60.00 60.00 60.00°
Closest atoms and distances in Å follow each position.
Positions (direct):
Eu  0.0000  0.0000  0.0000  4 Cu 3.31
Ba  0.5000  0.5000  0.5000  4 Cu 3.31
Cu  0.2500  0.2500  0.2500  4 Ba 3.31, 4 Eu 3.31

Values from the calculation:
Excess energy over the best structure of this formula in the dataset: 0.26 eV/f.u.

Number 1: DFT total energy -0.1510 hartree per atom, V 32.560 Å³ per atom. Number 2: DFT total energy -0.1961 hartree per atom, V 37.388 Å³ per atom.